(1)
First-principles (PBE-GGA) data for a geometry-optimized GdHoPt4Pb2 structure, as listed in OQMD via LeMat-Bulk.

a = 4.6571 Å, b = 4.6571 Å, c = 9.0709 Å
α = 90.00°, β = 90.00°, γ = 120.00°
Space group P-6m2 (No. 187)
One atom of each set of equivalent atoms:
Gd 0.0000 0.0000 0.0000
Ho 0.3333 0.6667 0.5000
Pt 0.0000 0.0000 0.3464
Pt 0.3333 0.6667 0.1556
Pb 0.6667 0.3333 0.2513

Computed properties:
raw total energy: -5.88 eV per atom

=====

(2)
First-principles (PBE-GGA) data for a geometry-optimized GdHoPd2 structure, as listed in OQMD via LeMat-Bulk.

a = 4.542 Å, b = 5.590 Å, c = 7.016 Å
α = 90.00°, β = 90.00°, γ = 90.00°
Space group Pmc2_1 (No. 26)
One atom of each set of equivalent atoms:
Gd 0.000 0.107 0.000
Ho 0.500 0.393 0.636
Pd 0.000 0.406 0.361
Pd 0.500 0.099 0.275

Computed properties:
energy of formation from the pure elements: -0.921 eV/atom

=====

(3)
First-principles (PBE-GGA) data for a geometry-optimized GdHo2Sn3PdPt2 structure, as listed in OQMD via LeMat-Bulk.

a = 4.015 Å, b = 13.083 Å, c = 7.517 Å
α = 90.00°, β = 90.00°, γ = 90.00°
Space group Amm2 (No. 38)
One atom of each set of equivalent atoms:
Gd 0.000 0.000 0.000
Ho 0.000 0.204 0.387
Sn 0.500 0.000 0.335
Sn 0.500 0.129 0.720
Pd 0.000 0.000 0.590
Pt 0.500 0.168 0.092

Computed properties:
raw total energy: -5.84 eV per atom

=====

(4)
First-principles (PBE-GGA) data for a geometry-optimized Gd2HoSn3Pd2Pt structure, as listed in OQMD via LeMat-Bulk.

a = 3.995 Å, b = 13.111 Å, c = 7.586 Å
α = 90.00°, β = 90.00°, γ = 90.00°
Space group Amm2 (No. 38)
One atom of each set of equivalent atoms:
Gd 0.000 0.202 0.000
Ho 0.000 0.000 0.395
Sn 0.500 0.000 0.057
Sn 0.500 0.130 0.668
Pd 0.500 0.165 0.299
Pt 0.000 0.000 0.796

Computed properties:
raw total energy: -5.68 eV per atom

=====

(5)
First-principles (PBE-GGA) data for a geometry-optimized GdHo2Sn3Pd3 structure, as listed in OQMD via LeMat-Bulk.

a = 3.916 Å, b = 13.214 Å, c = 7.606 Å
α = 90.00°, β = 90.00°, γ = 90.00°
Space group Amm2 (No. 38)
One atom of each set of equivalent atoms:
Gd 0.000 0.000 0.000
Ho 0.000 0.202 0.394
Sn 0.500 0.000 0.335
Sn 0.500 0.131 0.726
Pd 0.000 0.000 0.594
Pd 0.500 0.168 0.097

Computed properties:
raw total energy: -5.53 eV per atom

=====

(6)
First-principles (PBE-GGA) data for a geometry-optimized GdHoSn2Pd4 structure, as listed in OQMD via LeMat-Bulk.

a = 4.5888 Å, b = 4.5888 Å, c = 8.9521 Å
α = 90.00°, β = 90.00°, γ = 120.00°
Space group P-6m2 (No. 187)
One atom of each set of equivalent atoms:
Gd 0.0000 0.0000 0.0000
Ho 0.3333 0.6667 0.5000
Sn 0.6667 0.3333 0.2513
Pd 0.0000 0.0000 0.3363
Pd 0.3333 0.6667 0.1668

Computed properties:
raw total energy: -5.63 eV per atom

=====

(7)
First-principles (PBE-GGA) data for a geometry-optimized GdHoSnPd2 structure, as listed in OQMD via LeMat-Bulk.

a = 3.593 Å, b = 4.260 Å, c = 14.632 Å
α = 90.00°, β = 90.00°, γ = 90.00°
Space group Amm2 (No. 38)
One atom of each set of equivalent atoms:
Gd 0.000 0.000 0.000
Ho 0.000 0.000 0.738
Sn 0.500 0.000 0.369
Pd 0.500 0.000 0.180
Pd 0.500 0.000 0.561

Computed properties:
raw total energy: -5.62 eV per atom

=====

(8)
First-principles (PBE-GGA) data for a geometry-optimized Gd2HoSn3Pd3 structure, as listed in OQMD via LeMat-Bulk.

a = 3.966 Å, b = 13.150 Å, c = 7.613 Å
α = 90.00°, β = 90.00°, γ = 90.00°
Space group Amm2 (No. 38)
One atom of each set of equivalent atoms:
Gd 0.000 0.203 0.000
Ho 0.000 0.000 0.393
Sn 0.500 0.000 0.056
Sn 0.500 0.130 0.667
Pd 0.000 0.000 0.795
Pd 0.500 0.165 0.298

Computed properties:
raw total energy: -5.54 eV per atom

=====

(9)
First-principles (PBE-GGA) data for a geometry-optimized Gd3Ho2TmTe2Pd structure, as listed in OQMD via LeMat-Bulk.

a = 3.967 Å, b = 14.559 Å, c = 8.430 Å
α = 90.00°, β = 90.00°, γ = 90.00°
Space group Amm2 (No. 38)
One atom of each set of equivalent atoms:
Gd 0.000 0.000 0.000
Gd 0.000 0.201 0.395
Ho 0.500 0.123 0.719
Tm 0.500 0.000 0.351
Te 0.500 0.166 0.096
Pd 0.000 0.000 0.594

Computed properties:
raw total energy: -5.17 eV per atom

=====

(10)
First-principles (PBE-GGA) data for a geometry-optimized GdHoPt2 structure, as listed in OQMD via LeMat-Bulk.

a = 4.513 Å, b = 5.577 Å, c = 7.050 Å
α = 90.00°, β = 90.00°, γ = 90.00°
Space group Pmc2_1 (No. 26)
One atom of each set of equivalent atoms:
Gd 0.000 0.110 0.000
Ho 0.500 0.391 0.636
Pt 0.000 0.406 0.363
Pt 0.500 0.096 0.274

Computed properties:
energy of formation from the pure elements: -1.276 eV/atom

=====

(11)
First-principles (PBE-GGA) data for a geometry-optimized Gd3HoPt4 structure, as listed in OQMD via LeMat-Bulk.

a = 5.592 Å, b = 4.527 Å, c = 7.072 Å
α = 90.00°, β = 90.26°, γ = 90.00°
Space group Pm (No. 6)
One atom of each set of equivalent atoms:
Gd 0.000 0.000 0.000
Gd 0.220 0.000 0.498
Gd 0.719 0.500 0.635
Ho 0.500 0.500 0.135
Pt 0.015 0.500 0.271
Pt 0.206 0.500 0.775
Pt 0.514 0.000 0.865
Pt 0.703 0.000 0.358

Computed properties:
energy of formation from the pure elements: -1.265 eV/atom

=====

(12)
First-principles (PBE-GGA) data for a geometry-optimized GdHoPt2 structure, as listed in OQMD via LeMat-Bulk.

a = 5.578 Å, b = 4.514 Å, c = 7.043 Å
α = 90.00°, β = 90.53°, γ = 90.00°
Space group P2_1/m (No. 11)
One atom of each set of equivalent atoms:
Gd 0.141 0.250 0.183
Ho 0.360 0.250 0.681
Pt 0.158 0.750 0.457
Pt 0.347 0.750 0.954

Computed properties:
energy of formation from the pure elements: -1.277 eV/atom